# 1
Material: Nd2Dy4Cd
Method: DFT, PBE-GGA
State: optimized geometry

Structure (POSCAR):
```
Nd2Dy4Cd
1.0
8.5470 -1.8000 0.0000
8.5470 1.8000 0.0000
-3.8181 0.0000 7.2950
Nd Dy Cd
2 4 1
Direct
0.2137 0.2137 0.1312 Nd
0.7863 0.7863 0.8688 Nd
0.1416 0.1416 0.4672 Dy
0.4412 0.4412 0.2650 Dy
0.5588 0.5588 0.7350 Dy
0.8584 0.8584 0.5328 Dy
0.0000 0.0000 0.0000 Cd
```

Calculated values
As for the symmetry: C2/m, No. 12.

---

# 2
Material: MgSc4Zn5
Method: DFT, PBE-GGA
State: optimized geometry

Structure (POSCAR):
```
MgSc4Zn5
1.0
3.3333 0.0000 0.0000
0.0000 3.3333 0.0000
0.0000 0.0000 16.7557
Mg Sc Zn
1 4 5
Direct
0.0000 0.0000 0.0000 Mg
0.0000 0.0000 0.1989 Sc
0.0000 0.0000 0.3995 Sc
0.0000 0.0000 0.6005 Sc
0.0000 0.0000 0.8011 Sc
0.5000 0.5000 0.1003 Zn
0.5000 0.5000 0.3003 Zn
0.5000 0.5000 0.5000 Zn
0.5000 0.5000 0.6997 Zn
0.5000 0.5000 0.8997 Zn
```

Calculated values
As for the symmetry: P4/mmm, No. 123.

---

# 3
Material: LaPu
Method: DFT, PBE-GGA
State: optimized geometry

Structure (POSCAR):
```
LaPu
1.0
3.4113 0.0000 0.0000
0.0000 4.2175 0.0000
-1.2625 0.0000 7.6948
La Pu
2 2
Direct
0.2023 0.2500 0.3101 La
0.7977 0.7500 0.6899 La
0.3598 0.2500 0.9789 Pu
0.6402 0.7500 0.0211 Pu
```

Calculated values
As for the symmetry: P2_1/m, No. 11.

---

| no. | ΔE_f (eV per atom) |
| --- | --- |
| 1 | 0.004 |
| 2 | -0.321 |
| 3 | 0.248 |